one | Compound: Li4Ag3Hg
Source: Alexandria via LeMat-Bulk
Functional: GGA-PBE
Structure: optimized geometry

Properties
* DOS(E_F): 2.6 states/eV per cell
* theoretical density: 6.43 g/cm³

abc: 3.1055 4.8191 10.0428
angles: 73.91 98.89 90.00
Last column: nearest neighbours and their distance in Å.
Positions (direct):
Li1 0.7510 0.7556 0.5019  3 Ag 2.73-2.88, 6 Li 2.81-2.95
Li2 0.2490 0.2444 0.4981  3 Ag 2.73-2.88, 6 Li 2.81-2.95
Li3 0.3802 0.5038 0.7605  6 Ag 2.83-2.90, 1 Hg 2.88, 4 Li 2.95-3.11
Li4 0.6198 0.4962 0.2395  6 Ag 2.83-2.90, 1 Hg 2.88, 4 Li 2.95-3.11
Ag1 0.8643 0.0191 0.7285  7 Li 2.73-2.90
Ag2 0.0000 0.5000 0.0000  4 Li 2.83, 4 Hg 2.87, 4 Ag 3.11-3.12
Ag3 0.1357 0.9809 0.2715  7 Li 2.73-2.90
Hg1 0.5000 0.0000 0.0000  8 Ag 2.87-3.09, 2 Li 2.88, 2 Hg 3.11

=====

two | Compound: Li4Ag3Hg
Source: Alexandria via LeMat-Bulk
Functional: GGA-PBE
Structure: optimized geometry

Properties
* DOS(E_F): 2.2 states/eV per cell
* theoretical density: 6.92 g/cm³

abc: 3.2726 3.2726 12.3742
angles: 90.00 90.00 90.00
Last column: nearest neighbours and their distance in Å.
Positions (direct):
Ag1 0.5000 0.5000 0.2564  8 Li 2.75-2.79, 1 Ag 3.01
Ag2 0.5000 0.5000 0.5000  8 Li 2.77, 2 Ag 3.01
Ag3 0.5000 0.5000 0.7436  8 Li 2.75-2.79, 1 Ag 3.01
Li1 0.0000 0.0000 0.6234  8 Ag 2.75-2.77, 2 Li 3.04-3.05
Li2 0.0000 0.0000 0.1307  4 Ag 2.79, 4 Hg 2.82, 1 Li 3.04
Li3 0.0000 0.0000 0.8693  4 Ag 2.79, 4 Hg 2.82, 1 Li 3.04
Li4 0.0000 0.0000 0.3766  8 Ag 2.75-2.77, 2 Li 3.04-3.05
Hg1 0.5000 0.5000 0.0000  8 Li 2.82

=====

two has the most favorable energy; the next structure is 12.6 kJ/mol of atoms above.

=====

one | Compound: Li2Ag2Hg7
Source: Alexandria via LeMat-Bulk
Functional: GGA-PBE
Structure: optimized geometry

Properties
* DOS(E_F): 4.3 states/eV per cell
* theoretical density: 10.79 g/cm³

abc: 6.2219 6.6688 6.6688
angles: 107.51 79.64 79.64
Last column: nearest neighbours and their distance in Å.
Positions (direct):
Hg1 0.5916 0.8054 0.8054  3 Hg 2.93-3.06, 2 Ag 3.02, 1 Li 3.07
Hg2 0.0000 0.0000 0.0000  2 Li 2.72
Hg3 0.1988 0.5788 0.0721  2 Ag 2.93, 4 Hg 3.06-3.09, 1 Li 3.17
Hg4 0.4084 0.1946 0.1946  3 Hg 2.93-3.06, 2 Ag 3.02, 1 Li 3.07
Hg5 0.1988 0.0721 0.5788  2 Ag 2.93, 4 Hg 3.06-3.09, 1 Li 3.17
Hg6 0.8012 0.4212 0.9279  2 Ag 2.93, 4 Hg 3.06-3.09, 1 Li 3.17
Hg7 0.8012 0.9279 0.4212  2 Ag 2.93, 4 Hg 3.06-3.09, 1 Li 3.17
Li1 0.1070 0.6387 0.6387  1 Hg 2.72, 2 Ag 2.77, 1 Li 2.89
Li2 0.8930 0.3613 0.3613  1 Hg 2.72, 2 Ag 2.77, 1 Li 2.89
Ag1 0.5000 0.3641 0.6359  2 Li 2.77, 1 Ag 2.92, 6 Hg 2.93-3.02
Ag2 0.5000 0.6359 0.3641  2 Li 2.77, 1 Ag 2.92, 6 Hg 2.93-3.02

=====

two | Compound: Li2Ag2Hg7
Source: Alexandria via LeMat-Bulk
Functional: GGA-PBE
Structure: optimized geometry

Properties
* DOS(E_F): 3.8 states/eV per cell
* theoretical density: 11.46 g/cm³

abc: 5.6495 5.6495 7.5938
angles: 97.87 97.87 94.46
Last column: nearest neighbours and their distance in Å.
Positions (direct):
Hg1 0.1059 0.4835 0.8103  3 Li 2.89-2.98, 2 Ag 3.09-3.11, 3 Hg 3.13-3.21
Hg2 0.5165 0.8941 0.1897  3 Li 2.89-2.98, 2 Ag 3.09-3.11, 3 Hg 3.13-3.21
Hg3 0.0000 0.0000 0.0000  2 Li 2.93, 6 Hg 3.21-3.23
Hg4 0.8354 0.8354 0.5730  4 Ag 2.94-3.03, 1 Li 2.94, 6 Hg 2.96-3.28
Hg5 0.1646 0.1646 0.4270  4 Ag 2.94-3.03, 1 Li 2.94, 6 Hg 2.96-3.28
Hg6 0.4835 0.1059 0.8103  3 Li 2.89-2.98, 2 Ag 3.09-3.11, 3 Hg 3.13-3.21
Hg7 0.8941 0.5165 0.1897  3 Li 2.89-2.98, 2 Ag 3.09-3.11, 3 Hg 3.13-3.21
Ag1 0.6813 0.3187 0.5000  8 Hg 2.94-3.11, 1 Ag 3.01, 2 Li 3.03
Ag2 0.3187 0.6813 0.5000  8 Hg 2.94-3.11, 1 Ag 3.01, 2 Li 3.03
Li1 0.3824 0.3824 0.1501  8 Hg 2.89-2.98, 2 Ag 3.03, 1 Li 3.18
Li2 0.6176 0.6176 0.8499  8 Hg 2.89-2.98, 2 Ag 3.03, 1 Li 3.18

=====

two has the most favorable energy; the next structure is 4.8 kJ/mol of atoms above.

=====

one | Compound: Li3AgHg6
Source: Alexandria via LeMat-Bulk
Functional: GGA-PBE
Structure: optimized geometry

Properties
* DOS(E_F): 9.4 states/eV per cell
* theoretical density: 10.08 g/cm³

abc: 7.6124 7.6124 7.6124
angles: 93.20 93.20 93.20
Last column: nearest neighbours and their distance in Å.
Positions (direct):
Li1 0.7262 0.2460 0.8706  6 Hg 2.79-3.10, 1 Ag 3.04
Li2 0.8706 0.7262 0.2460  6 Hg 2.79-3.10, 1 Ag 3.04
Li3 0.2460 0.8706 0.7262  6 Hg 2.79-3.10, 1 Ag 3.04
Li4 0.7540 0.1294 0.2738  6 Hg 2.79-3.10, 1 Ag 3.04
Li5 0.2738 0.7540 0.1294  6 Hg 2.79-3.10, 1 Ag 3.04
Li6 0.1294 0.2738 0.7540  6 Hg 2.79-3.10, 1 Ag 3.04
Hg1 0.3924 0.5543 0.8454  3 Li 2.79-2.88, 1 Ag 2.81, 2 Hg 2.97-3.00
Hg2 0.6337 0.8649 0.9742  1 Ag 2.91, 4 Li 2.95-3.13, 2 Hg 3.00
Hg3 0.5543 0.8454 0.3924  3 Li 2.79-2.88, 1 Ag 2.81, 2 Hg 2.97-3.00
Hg4 0.3663 0.1351 0.0258  1 Ag 2.91, 4 Li 2.95-3.13, 2 Hg 3.00
Hg5 0.0258 0.3663 0.1351  1 Ag 2.91, 4 Li 2.95-3.13, 2 Hg 3.00
Hg6 0.1351 0.0258 0.3663  1 Ag 2.91, 4 Li 2.95-3.13, 2 Hg 3.00
Hg7 0.1546 0.6076 0.4457  3 Li 2.79-2.88, 1 Ag 2.81, 2 Hg 2.97-3.00
Hg8 0.9742 0.6337 0.8649  1 Ag 2.91, 4 Li 2.95-3.13, 2 Hg 3.00
Hg9 0.8454 0.3924 0.5543  3 Li 2.79-2.88, 1 Ag 2.81, 2 Hg 2.97-3.00
Hg10 0.4457 0.1546 0.6076  3 Li 2.79-2.88, 1 Ag 2.81, 2 Hg 2.97-3.00
Hg11 0.8649 0.9742 0.6337  1 Ag 2.91, 4 Li 2.95-3.13, 2 Hg 3.00
Hg12 0.6076 0.4457 0.1546  3 Li 2.79-2.88, 1 Ag 2.81, 2 Hg 2.97-3.00
Ag1 0.5000 0.5000 0.5000  6 Hg 2.81
Ag2 0.0000 0.0000 0.0000  6 Hg 2.91, 6 Li 3.04

=====

two | Compound: Li3AgHg6
Source: Alexandria via LeMat-Bulk
Functional: GGA-PBE
Structure: optimized geometry

Properties
* DOS(E_F): 6.1 states/eV per cell
* theoretical density: 10.82 g/cm³

abc: 4.8588 8.3852 10.7286
angles: 110.63 90.00 90.00
Last column: nearest neighbours and their distance in Å.
Positions (direct):
Hg1 0.2500 0.6453 0.6804  5 Li 2.89-3.04, 3 Hg 3.07-3.12, 1 Ag 3.22
Hg2 0.2500 0.2660 0.4876  4 Li 2.93-3.00, 3 Ag 2.99-3.03, 4 Hg 3.12-3.26
Hg3 0.7500 0.3547 0.3196  5 Li 2.89-3.04, 3 Hg 3.07-3.12, 1 Ag 3.22
Hg4 0.2500 0.4717 0.0763  7 Li 2.95-3.13, 5 Hg 3.06-3.29
Hg5 0.7500 0.1631 0.7166  4 Li 2.89-3.07, 3 Ag 2.89-3.07, 3 Hg 3.08-3.13
Hg6 0.7500 0.5283 0.9237  7 Li 2.95-3.13, 5 Hg 3.06-3.29
Hg7 0.7500 0.9236 0.1346  3 Li 2.85-2.95, 1 Ag 2.95, 5 Hg 3.05-3.13
Hg8 0.7500 0.7340 0.5124  4 Li 2.93-3.00, 3 Ag 2.99-3.03, 4 Hg 3.12-3.26
Hg9 0.2500 0.1581 0.1654  8 Hg 3.05-3.36, 4 Li 3.07-3.33
Hg10 0.2500 0.0764 0.8654  3 Li 2.85-2.95, 1 Ag 2.95, 5 Hg 3.05-3.13
Hg11 0.7500 0.8419 0.8346  8 Hg 3.05-3.36, 4 Li 3.07-3.33
Hg12 0.2500 0.8369 0.2834  4 Li 2.89-3.07, 3 Ag 2.89-3.07, 3 Hg 3.08-3.13
Ag1 0.2500 0.9568 0.5714  8 Hg 2.89-3.22, 2 Ag 3.09
Ag2 0.7500 0.0432 0.4286  8 Hg 2.89-3.22, 2 Ag 3.09
Li1 0.2500 0.7716 0.9830  11 Hg 2.95-3.22
Li2 0.7500 0.6380 0.2206  8 Hg 2.85-2.99
Li3 0.7500 0.2284 0.0170  11 Hg 2.95-3.22
Li4 0.2500 0.3620 0.7794  8 Hg 2.85-2.99
Li5 0.2500 0.5547 0.3843  8 Hg 2.89-3.13, 2 Li 3.22
Li6 0.7500 0.4453 0.6157  8 Hg 2.89-3.13, 2 Li 3.22

=====

two has the most favorable energy; the next structure is 4.3 kJ/mol of atoms above.

=====

one | Compound: Li3AgHg4
Source: Alexandria via LeMat-Bulk
Functional: GGA-PBE
Structure: optimized geometry

Properties
* DOS(E_F): 3.1 states/eV per cell
* theoretical density: 10.16 g/cm³

abc: 4.6919 6.9151 9.3848
angles: 90.00 90.00 90.00
Last column: nearest neighbours and their distance in Å.
Positions (direct):
Hg1 0.0009 0.2371 0.2500  6 Li 2.86-2.97, 2 Ag 2.97
Hg2 0.9991 0.2371 0.7500  6 Li 2.86-2.97, 2 Ag 2.97
Hg3 0.0009 0.7629 0.2500  6 Li 2.86-2.97, 2 Ag 2.97
Hg4 0.5000 0.2371 0.5000  6 Li 2.86-2.97, 2 Ag 2.97
Hg5 0.5000 0.7629 0.0000  6 Li 2.86-2.97, 2 Ag 2.97
Hg6 0.9991 0.7629 0.7500  6 Li 2.86-2.97, 2 Ag 2.97
Hg7 0.5000 0.7629 0.5000  6 Li 2.86-2.97, 2 Ag 2.97
Hg8 0.5000 0.2371 0.0000  6 Li 2.86-2.97, 2 Ag 2.97
Li1 0.4992 0.5000 0.7500  8 Hg 2.97, 4 Ag 3.32
Li2 0.0000 0.0000 0.5000  8 Hg 2.86
Li3 0.5008 0.5000 0.2500  8 Hg 2.97, 4 Ag 3.32
Li4 0.0000 0.0000 0.0000  8 Hg 2.86
Li5 0.4990 0.0000 0.7500  8 Hg 2.86
Li6 0.5010 0.0000 0.2500  8 Hg 2.86
Ag1 0.0000 0.5000 0.0000  8 Hg 2.97, 4 Li 3.32
Ag2 0.0000 0.5000 0.5000  8 Hg 2.97, 4 Li 3.32

=====

two | Compound: Li3AgHg4
Source: Alexandria via LeMat-Bulk
Functional: GGA-PBE
Structure: optimized geometry

Properties
* DOS(E_F): 2.0 states/eV per cell
* theoretical density: 9.32 g/cm³

abc: 4.0255 3.5384 11.9702
angles: 99.10 99.68 90.00
Last column: nearest neighbours and their distance in Å.
Positions (direct):
Hg1 0.9067 0.9039 0.8133  3 Li 2.79-2.81, 2 Ag 2.96
Hg2 0.6682 0.6649 0.3364  5 Li 2.76-2.88
Hg3 0.3318 0.3351 0.6636  5 Li 2.76-2.88
Hg4 0.0933 0.0961 0.1867  3 Li 2.79-2.81, 2 Ag 2.96
Li1 0.7869 0.7889 0.5738  6 Hg 2.76-2.88
Li2 0.0000 0.5000 0.0000  4 Ag 2.68, 4 Hg 2.79-2.81
Li3 0.2131 0.2111 0.4262  6 Hg 2.76-2.88
Ag1 0.5000 0.0000 0.0000  4 Li 2.68, 4 Hg 2.96

=====

one has the most favorable energy; the next structure is 10.5 kJ/mol of atoms above.

=====

one | Compound: LiAg2Hg2
Source: Alexandria via LeMat-Bulk
Functional: GGA-PBE
Structure: optimized geometry

Properties
* DOS(E_F): 3.8 states/eV per cell
* theoretical density: 9.79 g/cm³

abc: 7.8371 7.8371 3.4450
angles: 90.00 90.00 90.00
Last column: nearest neighbours and their distance in Å.
Positions (direct):
Hg1 0.1612 0.3388 0.0000  6 Ag 2.80-2.92, 2 Li 2.94
Hg2 0.6612 0.1612 0.0000  6 Ag 2.80-2.92, 2 Li 2.94
Hg3 0.3388 0.8388 0.0000  6 Ag 2.80-2.92, 2 Li 2.94
Hg4 0.8388 0.6612 0.0000  6 Ag 2.80-2.92, 2 Li 2.94
Ag1 0.3608 0.1392 0.5000  6 Hg 2.80-2.92, 1 Ag 3.09
Ag2 0.8608 0.3608 0.5000  6 Hg 2.80-2.92, 1 Ag 3.09
Ag3 0.6392 0.8608 0.5000  6 Hg 2.80-2.92, 1 Ag 3.09
Ag4 0.1392 0.6392 0.5000  6 Hg 2.80-2.92, 1 Ag 3.09
Li1 0.5000 0.5000 0.0000  4 Hg 2.94
Li2 0.0000 0.0000 0.0000  4 Hg 2.94

=====

two | Compound: LiAg2Hg2
Source: Alexandria via LeMat-Bulk
Functional: GGA-PBE
Structure: optimized geometry

Properties
* DOS(E_F): 2.3 states/eV per cell
* theoretical density: 8.65 g/cm³

abc: 4.2332 4.2332 7.3200
angles: 73.19 73.19 90.00
Last column: nearest neighbours and their distance in Å.
Positions (direct):
Ag1 0.5992 0.5992 0.8016  1 Ag 2.65, 4 Hg 2.92
Ag2 0.4008 0.4008 0.1984  1 Ag 2.65, 4 Hg 2.92
Li1 0.0000 0.0000 0.0000  8 Ag 3.27
Hg1 0.7500 0.2500 0.5000  4 Ag 2.92, 4 Hg 2.99
Hg2 0.2500 0.7500 0.5000  4 Ag 2.92, 4 Hg 2.99

=====

one has the most favorable energy; the next structure is 9.1 kJ/mol of atoms above.